(1)
Hg2PPt | PBE-GGA | relaxed

Values from the calculation:
E_form	404.9	meV/atom
total moment	0.000	Bohr magnetons per cell

Cell: 5.270 5.270 5.270 Å, 133.74 133.74 67.49°
Element x y z (fractional)
Hg 0.000 0.000 0.000
Hg 0.750 0.250 0.500
P 0.250 0.750 0.500
Pt 0.500 0.500 0.000


(2)
HgP2Pt4 | PBE-GGA | relaxed

Values from the calculation:
E_form	718.9	meV/atom
total moment	0.000	Bohr magnetons per cell

Cell: 7.002 7.002 7.002 Å, 138.13 138.13 60.71°
Element x y z (fractional)
Hg 0.000 0.000 0.000
P 0.408 0.408 0.000
P 0.592 0.592 0.000
Pt 0.000 0.500 0.500
Pt 0.232 0.232 0.000
Pt 0.500 0.000 0.500
Pt 0.768 0.768 0.000


(3)
Hg2PPt | PBE-GGA | relaxed

Values from the calculation:
E_form	-24.8	meV/atom
total moment	0.000	Bohr magnetons per cell

Cell: 3.173 3.229 8.690 Å, 90.00 90.00 90.00°
Element x y z (fractional)
Hg 0.000 0.000 0.000
Hg 0.500 0.500 0.265
P 0.500 0.500 0.576
Pt 0.000 0.000 0.675


(4)
HgPPt | PBE-GGA | relaxed

Values from the calculation:
E_form	206.3	meV/atom
energy above the most stable polymorph in this dataset	318	meV/atom
total moment	0.000	Bohr magnetons per cell

Cell: 4.403 4.403 4.403 Å, 60.00 60.00 60.00°
Element x y z (fractional)
Hg 0.000 0.000 0.000
P 0.500 0.500 0.500
Pt 0.750 0.750 0.750


(5)
HgP2Pt | PBE-GGA | relaxed

Values from the calculation:
E_form	-60.2	meV/atom
total moment	0.000	Bohr magnetons per cell

Cell: 6.995 6.995 6.995 Å, 30.49 30.49 30.49°
Element x y z (fractional)
Hg 0.000 0.000 0.000
P 0.226 0.226 0.226
P 0.774 0.774 0.774
Pt 0.500 0.500 0.500


(6)
HgP2Pt | PBE-GGA | relaxed

Values from the calculation:
E_form	308.2	meV/atom
total moment	0.000	Bohr magnetons per cell

Cell: 5.437 5.437 5.437 Å, 146.67 103.70 85.85°
Element x y z (fractional)
Hg 0.000 0.000 0.000
P 0.516 0.516 0.000
P 0.704 0.204 0.500
Pt 0.297 0.797 0.500


(7)
HgPPt | PBE-GGA | relaxed

Values from the calculation:
E_form	20.8	meV/atom
energy above the most stable polymorph in this dataset	132	meV/atom
total moment	0.000	Bohr magnetons per cell

Cell: 7.052 7.052 7.052 Å, 154.81 154.81 35.93°
Element x y z (fractional)
Hg 0.000 0.000 0.000
P 0.280 0.280 0.000
Pt 0.701 0.701 0.000


(8)
Hg2PPt | PBE-GGA | relaxed

Values from the calculation:
E_form	10.6	meV/atom
total moment	0.000	Bohr magnetons per cell

Cell: 5.196 5.196 5.982 Å, 108.32 108.32 36.71°
Element x y z (fractional)
Hg 0.000 0.000 0.000
Hg 0.196 0.196 0.693
P 0.345 0.345 0.413
Pt 0.758 0.758 0.134


(9)
Re2HgPPt | PBE-GGA | relaxed

Values from the calculation:
E_form	2917.7	meV/atom
total moment	6.110	Bohr magnetons per cell

Cell: 5.065 5.065 4.961 Å, 90.00 90.00 90.00°
Element x y z (fractional)
Re 0.000 0.500 0.000
Re 0.500 0.000 0.000
Hg 0.000 0.000 0.000
P 0.500 0.500 0.500
Pt 0.000 0.000 0.500


(10)
HgPPtS2 | PBE-GGA | relaxed

Values from the calculation:
E_form (uncorrected)	1.585	eV per atom
energy above the most stable polymorph in this dataset	1015	meV/atom
total moment	1.620	Bohr magnetons per cell

Cell: 4.899 4.899 4.962 Å, 90.00 90.00 90.00°
Element x y z (fractional)
Hg 0.000 0.000 0.000
P 0.000 0.000 0.500
Pt 0.500 0.500 0.500
S 0.000 0.500 0.000
S 0.500 0.000 0.000


(11)
HgPPtS2 | PBE-GGA | relaxed

Values from the calculation:
E_form (uncorrected)	0.570	eV per atom
energy above the most stable polymorph in this dataset	0	meV/atom
total moment	0.000	Bohr magnetons per cell

Cell: 5.033 5.033 4.403 Å, 90.00 90.00 90.00°
Element x y z (fractional)
Hg 0.000 0.000 0.000
P 0.500 0.500 0.000
Pt 0.500 0.500 0.500
S 0.000 0.500 0.500
S 0.500 0.000 0.500


(12)
SmHg2P2Pt7 | PBE-GGA | relaxed

Values from the calculation:
E_form	-502.5	meV/atom
total moment	0.000	Bohr magnetons per cell

Cell: 4.002 4.002 14.825 Å, 97.65 97.65 89.98°
Element x y z (fractional)
Sm 0.000 0.000 0.000
Hg 0.201 0.201 0.411
Hg 0.799 0.799 0.589
P 0.380 0.380 0.757
P 0.620 0.620 0.243
Pt 0.076 0.576 0.155
Pt 0.306 0.306 0.605
Pt 0.424 0.924 0.845
Pt 0.500 0.500 0.000
Pt 0.576 0.076 0.155
Pt 0.694 0.694 0.395
Pt 0.924 0.424 0.845